1.
First-principles (GGA-PBE) data for a relaxed AcAl3In3 crystal, as listed in Alexandria via LeMat-Bulk.

Values from the calculation:
* formation energy: 1.72 eV per formula unit

Structure (CIF):
```
data_AcAl3In3
_chemical_formula_sum 'Ac2 Al6 In6'
_cell_length_a 7.503
_cell_length_b 7.503
_cell_length_c 7.503
_cell_angle_alpha 90.00
_cell_angle_beta 90.00
_cell_angle_gamma 90.00
_space_group_name_H-M_alt 'P m -3 n'
_space_group_IT_number 223
_space_group_name_Hall '-P 4n 2 3'
loop_
_atom_site_label
_atom_site_type_symbol
_atom_site_fract_x
_atom_site_fract_y
_atom_site_fract_z
Ac1 Ac 0.000 0.000 0.000
Al1 Al 0.000 0.250 0.500
In1 In 0.000 0.500 0.250
```


2.
First-principles (GGA-PBE) data for a relaxed SrPHO4 crystal, as listed in Alexandria via LeMat-Bulk.

Structure (CIF):
```
data_SrPHO4
_chemical_formula_sum 'Sr16 P16 H16 O64'
_cell_length_a 8.200
_cell_length_b 9.375
_cell_length_c 18.336
_cell_angle_alpha 90.00
_cell_angle_beta 90.00
_cell_angle_gamma 90.00
_space_group_name_H-M_alt 'P b c a'
_space_group_IT_number 61
loop_
_space_group_symop_operation_xyz
'x,y,z'
'-x,-y,-z'
'-x+1/2,-y,z+1/2'
'x+1/2,y,-z+1/2'
'x+1/2,-y+1/2,-z'
'-x+1/2,y+1/2,z'
'-x,y+1/2,-z+1/2'
'x,-y+1/2,z+1/2'
loop_
_atom_site_label
_atom_site_type_symbol
_atom_site_fract_x
_atom_site_fract_y
_atom_site_fract_z
Sr1 Sr 0.123 0.178 0.124
Sr2 Sr 0.131 0.183 0.883
P1 P 0.021 0.022 0.294
P2 P 0.250 0.078 0.504
H1 H 0.080 0.614 0.000
H2 H 0.210 0.574 0.281
O1 O 0.055 0.000 0.783
O2 O 0.076 0.619 0.828
O3 O 0.087 0.616 0.157
O4 O 0.090 0.165 0.505
O5 O 0.154 0.599 0.575
O6 O 0.154 0.607 0.433
O7 O 0.176 0.125 0.279
O8 O 0.205 0.590 0.001
```


3.
First-principles (GGA-PBE) data for a relaxed LiCe2Zn3 crystal, as listed in Alexandria via LeMat-Bulk.

Values from the calculation:
* formation energy: -1.06 eV per formula unit

Structure (CIF):
```
data_LiCe2Zn3
_chemical_formula_sum 'Li2 Ce4 Zn6'
_cell_length_a 5.6439
_cell_length_b 5.6439
_cell_length_c 8.6369
_cell_angle_alpha 90.00
_cell_angle_beta 90.00
_cell_angle_gamma 120.00
_space_group_name_H-M_alt 'P 63/m m c'
_space_group_IT_number 194
_space_group_name_Hall '-P 6c 2c'
loop_
_atom_site_label
_atom_site_type_symbol
_atom_site_fract_x
_atom_site_fract_y
_atom_site_fract_z
Li1 Li 0.0000 0.0000 0.0000
Ce1 Ce 0.3333 0.6667 0.0792
Zn1 Zn 0.1671 0.3342 0.7500
```


4.
First-principles (GGA-PBE) data for a relaxed Nd4RuS2Br crystal, as listed in Alexandria via LeMat-Bulk.

Values from the calculation:
* formation energy from raw total energies: -1.290 eV per atom

Structure (CIF):
```
data_Nd4RuS2Br
_chemical_formula_sum 'Nd4 Ru1 S2 Br1'
_cell_length_a 7.274
_cell_length_b 3.996
_cell_length_c 7.406
_cell_angle_alpha 90.00
_cell_angle_beta 106.84
_cell_angle_gamma 90.00
_space_group_name_H-M_alt 'P 1 2/m 1'
_space_group_IT_number 10
loop_
_space_group_symop_operation_xyz
'x,y,z'
'-x,-y,-z'
'-x,y,-z'
'x,-y,z'
loop_
_atom_site_label
_atom_site_type_symbol
_atom_site_fract_x
_atom_site_fract_y
_atom_site_fract_z
Nd1 Nd 0.238 0.000 0.213
Nd2 Nd 0.248 0.500 0.767
Ru1 Ru 0.500 0.000 0.000
S1 S 0.000 0.000 0.500
S2 S 0.000 0.500 0.000
Br1 Br 0.500 0.500 0.500
```


5.
First-principles (GGA-PBE) data for a relaxed HgAsP2 crystal, as listed in Alexandria via LeMat-Bulk.

Values from the calculation:
* excess energy over the best structure of this formula in the dataset: 200 meV per atom
* formation energy: 1.51 eV per formula unit

Structure (CIF):
```
data_HgAsP2
_chemical_formula_sum 'Hg1 As1 P2'
_cell_length_a 3.522
_cell_length_b 3.522
_cell_length_c 7.985
_cell_angle_alpha 90.00
_cell_angle_beta 90.00
_cell_angle_gamma 90.00
_space_group_name_H-M_alt 'P 4/m m m'
_space_group_IT_number 123
_space_group_name_Hall '-P 4 2'
loop_
_atom_site_label
_atom_site_type_symbol
_atom_site_fract_x
_atom_site_fract_y
_atom_site_fract_z
Hg1 Hg 0.000 0.000 0.000
As1 As 0.000 0.000 0.500
P1 P 0.500 0.500 0.365
```


6.
First-principles (GGA-PBE) data for a relaxed LaTm12In6 crystal, as listed in Alexandria via LeMat-Bulk.

Values from the calculation:
* formation energy: -1.16 eV per formula unit

Structure (CIF):
```
data_LaTm12In6
_chemical_formula_sum 'La3 Tm36 In18'
_cell_length_a 13.7124
_cell_length_b 13.7124
_cell_length_c 11.1064
_cell_angle_alpha 90.00
_cell_angle_beta 90.00
_cell_angle_gamma 120.00
_space_group_name_H-M_alt 'R -3 m'
_space_group_IT_number 166
_space_group_name_Hall '-R 3 2"'
loop_
_atom_site_label
_atom_site_type_symbol
_atom_site_fract_x
_atom_site_fract_y
_atom_site_fract_z
La1 La 0.0000 0.0000 0.0000
Tm1 Tm 0.0000 0.3761 0.5000
Tm2 Tm 0.0887 0.1773 0.3577
In1 In 0.0270 0.5135 0.2729
```


7.
First-principles (GGA-PBE) data for a relaxed Sc2NiP crystal, as listed in Alexandria via LeMat-Bulk.

Values from the calculation:
* formation energy: -2.77 eV per formula unit

Structure (CIF):
```
data_Sc2NiP
_chemical_formula_sum 'Sc8 Ni4 P4'
_cell_length_a 6.388
_cell_length_b 6.388
_cell_length_c 6.388
_cell_angle_alpha 90.00
_cell_angle_beta 90.00
_cell_angle_gamma 90.00
_space_group_name_H-M_alt 'F m -3 m'
_space_group_IT_number 225
_space_group_name_Hall '-F 4 2 3'
loop_
_atom_site_label
_atom_site_type_symbol
_atom_site_fract_x
_atom_site_fract_y
_atom_site_fract_z
Sc1 Sc 0.250 0.250 0.250
Ni1 Ni 0.000 0.000 0.000
P1 P 0.000 0.000 0.500
```


8.
First-principles (GGA-PBE) data for a relaxed HgPCl crystal, as listed in Alexandria via LeMat-Bulk.

Values from the calculation:
* excess energy over the best structure of this formula in the dataset: 150 meV per atom
* formation energy from raw total energies: -0.098 eV per atom

Structure (CIF):
```
data_HgPCl
_chemical_formula_sum 'Hg4 P4 Cl4'
_cell_length_a 13.778
_cell_length_b 3.955
_cell_length_c 6.878
_cell_angle_alpha 90.00
_cell_angle_beta 107.19
_cell_angle_gamma 90.00
_space_group_name_H-M_alt 'C 1 2/m 1'
_space_group_IT_number 12
loop_
_space_group_symop_operation_xyz
'x,y,z'
'-x,-y,-z'
'-x,y,-z'
'x,-y,z'
'x+1/2,y+1/2,z'
'-x+1/2,-y+1/2,-z'
'-x+1/2,y+1/2,-z'
'x+1/2,-y+1/2,z'
loop_
_atom_site_label
_atom_site_type_symbol
_atom_site_fract_x
_atom_site_fract_y
_atom_site_fract_z
Hg1 Hg 0.124 0.000 0.299
P1 P 0.078 0.500 0.042
Cl1 Cl 0.152 0.500 0.591
```


9.
First-principles (GGA-PBE) data for a relaxed La2Ta crystal, as listed in Alexandria via LeMat-Bulk.

Values from the calculation:
* excess energy over the best structure of this formula in the dataset: 119 meV per atom
* formation energy: 1.19 eV per formula unit

Structure (CIF):
```
data_La2Ta
_chemical_formula_sum 'La4 Ta2'
_cell_length_a 3.259
_cell_length_b 3.259
_cell_length_c 16.419
_cell_angle_alpha 90.00
_cell_angle_beta 90.00
_cell_angle_gamma 90.00
_space_group_name_H-M_alt 'I 4/m m m'
_space_group_IT_number 139
_space_group_name_Hall '-I 4 2'
loop_
_atom_site_label
_atom_site_type_symbol
_atom_site_fract_x
_atom_site_fract_y
_atom_site_fract_z
La1 La 0.000 0.000 0.142
Ta1 Ta 0.000 0.000 0.500
```


In the order shown, the computed uncorrected energy values come out to -3.119; -6.750; -3.111; -6.074; -3.565; -4.010; -6.657; -2.618; -6.840 eV per atom.